Tl2SnSb2 GGA-PBE optimized geometry; calculated total energy = -16.07 eV per cell; space-group type = I4/mmm (139); energy relative to the lowest polymorph listed for this composition = 177.0 meV per atom; D(E_F) = 3.44 states/eV/cell; E_form (uncorrected) = 0.182 eV/atom; spin magnetization = 0.00 Bohr magnetons per cell
1.0
4.230 0.000 0.000
0.000 4.230 0.000
2.115 2.115 8.989
Tl Sb Sn
2 2 1
Cartesian
2.115 2.115 1.745
4.230 4.230 7.244
2.115 4.230 4.495
4.230 2.115 4.495
0.000 0.000 0.000